# 1
A relaxed BeNbZnI2 crystal. Source: the Alexandria database, functional PBE.

Geometry as POSCAR:
```
BeNbZnI2
1.0
5.494 0.000 0.000
0.000 5.202 0.000
0.000 0.000 5.494
I Be Nb Zn
2 1 1 1
Cartesian
0.000 0.000 2.747
2.747 0.000 0.000
2.747 2.601 2.747
0.000 2.601 0.000
0.000 0.000 0.000
```

**E**: -11.28 eV/f.u.
**Raw formation energy**: 1.378 eV/atom


# 2
A relaxed Nd7BeI12 crystal. Source: the Alexandria database, functional PBE.

Geometry as POSCAR:
```
Nd7BeI12
1.0
10.563 0.000 -2.174
-4.455 8.028 -3.815
-1.652 0.000 9.804
Nd Be I
7 1 12
Cartesian
-2.548 6.378 -2.564
9.431 0.569 0.340
2.747 5.809 3.530
5.282 0.000 -1.087
1.709 2.219 0.285
-4.975 7.459 3.475
7.003 1.650 6.379
0.000 0.000 0.000
-0.251 4.363 -1.084
8.063 1.218 3.379
2.893 6.125 -3.433
4.108 0.656 1.785
0.676 3.145 3.151
-2.665 5.469 4.545
7.120 2.559 -0.730
3.779 4.883 0.664
0.348 7.372 2.030
1.562 1.903 7.248
-3.608 6.810 0.436
4.706 3.665 4.899
```

**E**: -79.39 eV/f.u.
**Raw formation energy**: -1.184 eV/atom


# 3
A relaxed Nd3BeI3 crystal. Source: the Alexandria database, functional PBE.

Geometry as POSCAR:
```
Nd3BeI3
1.0
10.111 0.000 -3.575
-5.056 8.756 -3.575
0.000 0.000 10.724
Nd Be I
12 4 12
Cartesian
7.313 4.222 -2.681
5.056 0.312 0.894
2.438 0.156 4.213
6.139 6.567 -6.001
8.757 2.033 0.639
7.674 0.156 -2.426
5.056 4.066 0.894
3.972 6.567 -2.936
4.062 2.345 -2.681
1.354 2.033 1.149
6.049 2.345 4.469
2.798 4.222 4.469
5.056 4.378 -4.469
3.792 2.189 2.681
6.319 2.189 -0.894
0.000 0.000 2.681
-2.575 8.674 6.122
3.744 6.649 2.547
1.122 6.485 6.256
-1.169 2.189 9.697
-1.122 6.485 -0.894
2.386 4.460 -0.894
1.169 2.189 6.390
0.000 4.543 2.681
2.575 8.674 -0.760
-2.386 4.460 6.256
-3.744 6.649 2.815
0.000 8.592 2.681
```

**E**: -28.44 eV/f.u.
**Raw formation energy**: -0.823 eV/atom


# 4
A relaxed Nd4BeI5 crystal. Source: the Alexandria database, functional PBE.

Geometry as POSCAR:
```
Nd4BeI5
1.0
4.087 0.000 -0.890
-0.453 8.924 -2.079
0.039 0.122 10.010
Nd Be I
4 1 5
Cartesian
2.616 0.697 2.186
4.026 2.046 8.659
1.057 8.349 4.855
-0.352 7.001 -1.618
2.043 0.000 -0.445
0.539 3.099 2.477
0.349 7.399 1.603
3.325 1.648 5.439
1.817 4.462 -1.484
3.134 5.947 4.565
```

**E**: -40.51 eV/f.u.
**Raw formation energy**: -0.997 eV/atom


# 5
A relaxed Be2NiI crystal. Source: the Alexandria database, functional PBE.

Geometry as POSCAR:
```
Be2NiI
1.0
0.000 3.038 3.038
3.038 0.000 3.038
3.038 3.038 0.000
I Ni Be
1 1 2
Cartesian
3.038 3.038 3.038
0.000 0.000 0.000
1.519 1.519 1.519
4.557 4.557 4.557
```

**Energy relative to the lowest polymorph listed for this composition**: 0.564 eV/atom
**E**: -10.61 eV/f.u.
**Raw formation energy**: 1.045 eV/atom


# 6
A relaxed BeNiI2 crystal. Source: the Alexandria database, functional PBE.

Geometry as POSCAR:
```
BeNiI2
1.0
5.742 0.000 0.000
0.000 5.742 0.000
2.871 2.871 5.686
I Ni Be
4 2 2
Cartesian
4.270 1.435 1.422
1.472 4.306 1.422
4.306 4.343 4.265
7.177 7.141 4.265
0.000 0.000 0.000
5.742 2.871 2.843
2.871 2.871 0.000
2.871 5.742 2.843
```

**Energy relative to the lowest polymorph listed for this composition**: 0.000 eV/atom
**E**: -12.02 eV/f.u.
**Raw formation energy**: 0.146 eV/atom


> Which value of E does entry 2 give?

-79.39 eV/f.u.